1.
Compound: ErSiPd
Source: Alexandria
Functional: meta-GGA SCAN
Structure: PBEsol geometry

Computed properties:
Uncorrected formation energy ... -1.094 eV per atom

CIF file:
```
data_ErSiPd
_symmetry_space_group_name_H-M 'P m m n'
_symmetry_Int_Tables_number 59
_cell_length_a 4.2654
_cell_length_b 13.6374
_cell_length_c 7.3313
_cell_angle_alpha 90.00
_cell_angle_beta 90.00
_cell_angle_gamma 90.00
loop_
_symmetry_equiv_pos_as_xyz
'x,y,z'
'-x,-y,-z'
'-x+1/2,-y+1/2,z'
'x+1/2,y+1/2,-z'
'x+1/2,-y,-z'
'-x+1/2,y,z'
'-x,y+1/2,-z'
'x,-y+1/2,z'
loop_
_atom_site_label
_atom_site_type_symbol
_atom_site_fract_x
_atom_site_fract_y
_atom_site_fract_z
_atom_site_occupancy
Er1 Er 0.2500 0.0018 0.2073 1
Er2 Er 0.2500 0.2500 0.3000 1
Er3 Er 0.2500 0.7500 0.2923 1
Si1 Si 0.2500 0.1036 0.5918 1
Si2 Si 0.2500 0.6563 0.9081 1
Pd1 Pd 0.2500 0.1423 0.9230 1
Pd2 Pd 0.2500 0.5930 0.5816 1
```



2.
Compound: MgTeOs2
Source: Alexandria
Functional: meta-GGA SCAN
Structure: PBEsol geometry

Computed properties:
Uncorrected formation energy ... 0.321 eV per atom
Energy relative to the lowest polymorph listed for this composition ... 0.00 eV/f.u.

CIF file:
```
data_MgTeOs2
_symmetry_space_group_name_H-M 'F m -3 m'
_symmetry_Int_Tables_number 225
_symmetry_space_group_name_Hall '-F 4 2 3'
_cell_length_a 6.2924
_cell_length_b 6.2924
_cell_length_c 6.2924
_cell_angle_alpha 90.00
_cell_angle_beta 90.00
_cell_angle_gamma 90.00
loop_
_atom_site_label
_atom_site_type_symbol
_atom_site_fract_x
_atom_site_fract_y
_atom_site_fract_z
_atom_site_occupancy
Mg1 Mg 0.0000 0.0000 0.0000 1
Te1 Te 0.0000 0.0000 0.5000 1
Os1 Os 0.2500 0.2500 0.2500 1
```



3.
Compound: YMg2Se
Source: Alexandria
Functional: meta-GGA SCAN
Structure: PBEsol geometry

Computed properties:
Uncorrected formation energy ... -0.564 eV per atom

CIF file:
```
data_YMg2Se
_symmetry_space_group_name_H-M 'I -4 2 d'
_symmetry_Int_Tables_number 122
_symmetry_space_group_name_Hall 'I -4 2bw'
_cell_length_a 8.3372
_cell_length_b 8.3372
_cell_length_c 5.6755
_cell_angle_alpha 90.00
_cell_angle_beta 90.00
_cell_angle_gamma 90.00
loop_
_atom_site_label
_atom_site_type_symbol
_atom_site_fract_x
_atom_site_fract_y
_atom_site_fract_z
_atom_site_occupancy
Y1 Y 0.0000 0.0000 0.0000 1
Mg1 Mg 0.1957 0.7500 0.6250 1
Se1 Se 0.0000 0.0000 0.5000 1
```



4.
Compound: SrCrIr2
Source: Alexandria
Functional: meta-GGA SCAN
Structure: PBEsol geometry

Computed properties:
E_form ... -0.059 eV per atom
Energy relative to the lowest polymorph listed for this composition ... 0.00 eV/f.u.

CIF file:
```
data_SrCrIr2
_symmetry_space_group_name_H-M 'P 4/m m m'
_symmetry_Int_Tables_number 123
_symmetry_space_group_name_Hall '-P 4 2'
_cell_length_a 2.9456
_cell_length_b 2.9456
_cell_length_c 7.7227
_cell_angle_alpha 90.00
_cell_angle_beta 90.00
_cell_angle_gamma 90.00
loop_
_atom_site_label
_atom_site_type_symbol
_atom_site_fract_x
_atom_site_fract_y
_atom_site_fract_z
_atom_site_occupancy
Sr1 Sr 0.0000 0.0000 0.0000 1
Cr1 Cr 0.0000 0.0000 0.5000 1
Ir1 Ir 0.5000 0.5000 0.3104 1
```



5.
Compound: SiSbAs
Source: Alexandria
Functional: meta-GGA SCAN
Structure: PBEsol geometry

Computed properties:
Uncorrected formation energy ... 0.697 eV per atom

CIF file:
```
data_SiSbAs
_symmetry_space_group_name_H-M 'F -4 3 m'
_symmetry_Int_Tables_number 216
_symmetry_space_group_name_Hall 'F -4 2 3'
_cell_length_a 6.5383
_cell_length_b 6.5383
_cell_length_c 6.5383
_cell_angle_alpha 90.00
_cell_angle_beta 90.00
_cell_angle_gamma 90.00
loop_
_atom_site_label
_atom_site_type_symbol
_atom_site_fract_x
_atom_site_fract_y
_atom_site_fract_z
_atom_site_occupancy
Si1 Si 0.0000 0.0000 0.0000 1
Sb1 Sb 0.0000 0.0000 0.5000 1
As1 As 0.2500 0.2500 0.7500 1
```



6.
Compound: Li2InAs
Source: Alexandria
Functional: meta-GGA SCAN
Structure: PBEsol geometry

Computed properties:
E_form ... -0.266 eV per atom

CIF file:
```
data_Li2InAs
_symmetry_space_group_name_H-M 'F -4 3 m'
_symmetry_Int_Tables_number 216
_symmetry_space_group_name_Hall 'F -4 2 3'
_cell_length_a 6.7913
_cell_length_b 6.7913
_cell_length_c 6.7913
_cell_angle_alpha 90.00
_cell_angle_beta 90.00
_cell_angle_gamma 90.00
loop_
_atom_site_label
_atom_site_type_symbol
_atom_site_fract_x
_atom_site_fract_y
_atom_site_fract_z
_atom_site_occupancy
Li1 Li 0.0000 0.0000 0.0000 1
Li2 Li 0.2500 0.2500 0.2500 1
In1 In 0.0000 0.0000 0.5000 1
As1 As 0.2500 0.2500 0.7500 1
```



7.
Compound: InCu2Te
Source: Alexandria
Functional: meta-GGA SCAN
Structure: PBEsol geometry

Computed properties:
Uncorrected formation energy ... 0.143 eV per atom
Energy relative to the lowest polymorph listed for this composition ... 0.28 eV/f.u.

CIF file:
```
data_InCu2Te
_symmetry_space_group_name_H-M 'I m m 2'
_symmetry_Int_Tables_number 44
_cell_length_a 3.5887
_cell_length_b 3.6966
_cell_length_c 11.9994
_cell_angle_alpha 90.00
_cell_angle_beta 90.00
_cell_angle_gamma 90.00
loop_
_symmetry_equiv_pos_as_xyz
'x,y,z'
'-x,-y,z'
'-x,y,z'
'x,-y,z'
'x+1/2,y+1/2,z+1/2'
'-x+1/2,-y+1/2,z+1/2'
'-x+1/2,y+1/2,z+1/2'
'x+1/2,-y+1/2,z+1/2'
loop_
_atom_site_label
_atom_site_type_symbol
_atom_site_fract_x
_atom_site_fract_y
_atom_site_fract_z
_atom_site_occupancy
In1 In 0.0000 0.0000 0.0000 1
Cu1 Cu 0.0000 0.0000 0.4233 1
Cu2 Cu 0.0000 0.5000 0.2893 1
Te1 Te 0.0000 0.5000 0.7344 1
```



8.
Compound: CaSiPt
Source: Alexandria
Functional: meta-GGA SCAN
Structure: PBEsol geometry

Computed properties:
Uncorrected formation energy ... -1.091 eV per atom

CIF file:
```
data_CaSiPt
_symmetry_space_group_name_H-M 'P n m a'
_symmetry_Int_Tables_number 62
_cell_length_a 7.0736
_cell_length_b 4.3353
_cell_length_c 7.1263
_cell_angle_alpha 90.00
_cell_angle_beta 90.00
_cell_angle_gamma 90.00
loop_
_symmetry_equiv_pos_as_xyz
'x,y,z'
'-x,-y,-z'
'-x+1/2,-y,z+1/2'
'x+1/2,y,-z+1/2'
'x+1/2,-y+1/2,-z+1/2'
'-x+1/2,y+1/2,z+1/2'
'-x,y+1/2,-z'
'x,-y+1/2,z'
loop_
_atom_site_label
_atom_site_type_symbol
_atom_site_fract_x
_atom_site_fract_y
_atom_site_fract_z
_atom_site_occupancy
Ca1 Ca 0.0060 0.2500 0.1863 1
Si1 Si 0.1714 0.2500 0.5804 1
Pt1 Pt 0.1900 0.7500 0.4008 1
```



9.
Compound: NdSi
Source: Alexandria
Functional: meta-GGA SCAN
Structure: PBEsol geometry

Computed properties:
Uncorrected formation energy ... -0.805 eV per atom

CIF file:
```
data_NdSi
_symmetry_space_group_name_H-M 'P n m a'
_symmetry_Int_Tables_number 62
_cell_length_a 8.1542
_cell_length_b 3.8998
_cell_length_c 5.8614
_cell_angle_alpha 90.00
_cell_angle_beta 90.00
_cell_angle_gamma 90.00
loop_
_symmetry_equiv_pos_as_xyz
'x,y,z'
'-x,-y,-z'
'-x+1/2,-y,z+1/2'
'x+1/2,y,-z+1/2'
'x+1/2,-y+1/2,-z+1/2'
'-x+1/2,y+1/2,z+1/2'
'-x,y+1/2,-z'
'x,-y+1/2,z'
loop_
_atom_site_label
_atom_site_type_symbol
_atom_site_fract_x
_atom_site_fract_y
_atom_site_fract_z
_atom_site_occupancy
Nd1 Nd 0.1792 0.2500 0.1136 1
Si1 Si 0.0352 0.2500 0.6221 1
```



10.
Compound: Mg2AlBC
Source: Alexandria
Functional: meta-GGA SCAN
Structure: PBEsol geometry

Computed properties:
E_form ... 1.841 eV per atom

CIF file:
```
data_Mg2AlBC
_symmetry_space_group_name_H-M 'P 4/m m m'
_symmetry_Int_Tables_number 123
_symmetry_space_group_name_Hall '-P 4 2'
_cell_length_a 5.1106
_cell_length_b 5.1106
_cell_length_c 3.8305
_cell_angle_alpha 90.00
_cell_angle_beta 90.00
_cell_angle_gamma 90.00
loop_
_atom_site_label
_atom_site_type_symbol
_atom_site_fract_x
_atom_site_fract_y
_atom_site_fract_z
_atom_site_occupancy
Mg1 Mg 0.0000 0.5000 0.0000 1
Al1 Al 0.0000 0.0000 0.0000 1
B1 B 0.0000 0.0000 0.5000 1
C1 C 0.5000 0.5000 0.5000 1
```



11.
Compound: MgTe2SeI
Source: Alexandria
Functional: meta-GGA SCAN
Structure: PBEsol geometry

Computed properties:
Uncorrected formation energy ... 0.359 eV per atom

CIF file:
```
data_MgTe2SeI
_symmetry_space_group_name_H-M 'P 4/m m m'
_symmetry_Int_Tables_number 123
_symmetry_space_group_name_Hall '-P 4 2'
_cell_length_a 5.4344
_cell_length_b 5.4344
_cell_length_c 5.2071
_cell_angle_alpha 90.00
_cell_angle_beta 90.00
_cell_angle_gamma 90.00
loop_
_atom_site_label
_atom_site_type_symbol
_atom_site_fract_x
_atom_site_fract_y
_atom_site_fract_z
_atom_site_occupancy
Mg1 Mg 0.0000 0.0000 0.0000 1
Te1 Te 0.0000 0.5000 0.0000 1
Se1 Se 0.5000 0.5000 0.5000 1
I1 I 0.0000 0.0000 0.5000 1
```



12.
Compound: Zn2CdTe
Source: Alexandria
Functional: meta-GGA SCAN
Structure: PBEsol geometry

Computed properties:
Uncorrected formation energy ... 0.191 eV per atom
Energy relative to the lowest polymorph listed for this composition ... 0.37 eV/f.u.

CIF file:
```
data_Zn2CdTe
_symmetry_space_group_name_H-M 'P 4 m m'
_symmetry_Int_Tables_number 99
_cell_length_a 3.0806
_cell_length_b 3.0806
_cell_length_c 8.5967
_cell_angle_alpha 90.00
_cell_angle_beta 90.00
_cell_angle_gamma 90.00
loop_
_symmetry_equiv_pos_as_xyz
'x,y,z'
'-y,x,z'
'-x,-y,z'
'y,-x,z'
'-x,y,z'
'y,x,z'
'x,-y,z'
'-y,-x,z'
loop_
_atom_site_label
_atom_site_type_symbol
_atom_site_fract_x
_atom_site_fract_y
_atom_site_fract_z
_atom_site_occupancy
Zn1 Zn 0.0000 0.0000 0.0000 1
Zn2 Zn 0.5000 0.5000 0.1739 1
Cd1 Cd 0.0000 0.0000 0.3979 1
Te1 Te 0.5000 0.5000 0.7183 1
```



13.
Compound: Cu2PtPb
Source: Alexandria
Functional: meta-GGA SCAN
Structure: PBEsol geometry

Computed properties:
E_form ... 0.092 eV per atom

CIF file:
```
data_Cu2PtPb
_symmetry_space_group_name_H-M 'I -4 m 2'
_symmetry_Int_Tables_number 119
_symmetry_space_group_name_Hall 'I -4 -2'
_cell_length_a 3.8915
_cell_length_b 3.8915
_cell_length_c 8.1313
_cell_angle_alpha 90.00
_cell_angle_beta 90.00
_cell_angle_gamma 90.00
loop_
_atom_site_label
_atom_site_type_symbol
_atom_site_fract_x
_atom_site_fract_y
_atom_site_fract_z
_atom_site_occupancy
Cu1 Cu 0.0000 0.0000 0.0000 1
Cu2 Cu 0.0000 0.5000 0.2500 1
Pt1 Pt 0.0000 0.5000 0.7500 1
Pb1 Pb 0.0000 0.0000 0.5000 1
```



14.
Compound: Hf3Ni7
Source: Alexandria
Functional: meta-GGA SCAN
Structure: PBEsol geometry

Computed properties:
E_form ... -0.511 eV per atom

CIF file:
```
data_Hf3Ni7
_symmetry_space_group_name_H-M 'P -1'
_symmetry_Int_Tables_number 2
_cell_length_a 6.4111
_cell_length_b 6.4906
_cell_length_c 7.5048
_cell_angle_alpha 102.69
_cell_angle_beta 104.59
_cell_angle_gamma 112.64
loop_
_symmetry_equiv_pos_as_xyz
'x,y,z'
'-x,-y,-z'
loop_
_atom_site_label
_atom_site_type_symbol
_atom_site_fract_x
_atom_site_fract_y
_atom_site_fract_z
_atom_site_occupancy
Hf1 Hf 0.9999 0.2271 0.3688 1
Hf2 Hf 0.3420 0.4736 0.1242 1
Hf3 Hf 0.4011 0.0446 0.2784 1
Ni1 Ni 0.0000 0.0000 0.0000 1
Ni2 Ni 0.0549 0.1999 0.7651 1
Ni3 Ni 0.1180 0.6762 0.9570 1
Ni4 Ni 0.2212 0.6722 0.3917 1
Ni5 Ni 0.2706 0.5627 0.7145 1
Ni6 Ni 0.3200 0.1421 0.5946 1
Ni7 Ni 0.3939 0.1161 0.9407 1
Ni8 Ni 0.5000 0.5000 0.5000 1
```



15.
Compound: AlW3F
Source: Alexandria
Functional: meta-GGA SCAN
Structure: PBEsol geometry

Computed properties:
Uncorrected formation energy ... 2.454 eV per atom

CIF file:
```
data_AlW3F
_symmetry_space_group_name_H-M 'P m -3 m'
_symmetry_Int_Tables_number 221
_symmetry_space_group_name_Hall '-P 4 2 3'
_cell_length_a 4.5454
_cell_length_b 4.5454
_cell_length_c 4.5454
_cell_angle_alpha 90.00
_cell_angle_beta 90.00
_cell_angle_gamma 90.00
loop_
_atom_site_label
_atom_site_type_symbol
_atom_site_fract_x
_atom_site_fract_y
_atom_site_fract_z
_atom_site_occupancy
Al1 Al 0.0000 0.0000 0.0000 1
W1 W 0.0000 0.0000 0.5000 1
F1 F 0.5000 0.5000 0.5000 1
```



16.
Compound: AlSb2TeIr
Source: Alexandria
Functional: meta-GGA SCAN
Structure: PBEsol geometry

Computed properties:
Uncorrected formation energy ... 0.591 eV per atom

CIF file:
```
data_AlSb2TeIr
_symmetry_space_group_name_H-M 'P 4/m m m'
_symmetry_Int_Tables_number 123
_symmetry_space_group_name_Hall '-P 4 2'
_cell_length_a 4.9942
_cell_length_b 4.9942
_cell_length_c 5.6318
_cell_angle_alpha 90.00
_cell_angle_beta 90.00
_cell_angle_gamma 90.00
loop_
_atom_site_label
_atom_site_type_symbol
_atom_site_fract_x
_atom_site_fract_y
_atom_site_fract_z
_atom_site_occupancy
Al1 Al 0.0000 0.0000 0.0000 1
Sb1 Sb 0.0000 0.5000 0.5000 1
Te1 Te 0.5000 0.5000 0.0000 1
Ir1 Ir 0.5000 0.5000 0.5000 1
```



17.
Compound: TaInBr2
Source: Alexandria
Functional: meta-GGA SCAN
Structure: PBEsol geometry

Computed properties:
Uncorrected formation energy ... 0.200 eV per atom
Energy relative to the lowest polymorph listed for this composition ... 0.00 eV/f.u.

CIF file:
```
data_TaInBr2
_symmetry_space_group_name_H-M 'P 1 2/m 1'
_symmetry_Int_Tables_number 10
_cell_length_a 3.2347
_cell_length_b 4.5716
_cell_length_c 5.8541
_cell_angle_alpha 90.00
_cell_angle_beta 94.76
_cell_angle_gamma 90.00
loop_
_symmetry_equiv_pos_as_xyz
'x,y,z'
'-x,-y,-z'
'-x,y,-z'
'x,-y,z'
loop_
_atom_site_label
_atom_site_type_symbol
_atom_site_fract_x
_atom_site_fract_y
_atom_site_fract_z
_atom_site_occupancy
Ta1 Ta 0.0000 0.0000 0.0000 1
In1 In 0.5000 0.0000 0.5000 1
Br1 Br 0.1359 0.5000 0.7706 1
```



18.
Compound: Ba4SbBr
Source: Alexandria
Functional: meta-GGA SCAN
Structure: PBEsol geometry

Computed properties:
Uncorrected formation energy ... -0.285 eV per atom

CIF file:
```
data_Ba4SbBr
_symmetry_space_group_name_H-M 'F -4 3 m'
_symmetry_Int_Tables_number 216
_symmetry_space_group_name_Hall 'F -4 2 3'
_cell_length_a 9.8695
_cell_length_b 9.8695
_cell_length_c 9.8695
_cell_angle_alpha 90.00
_cell_angle_beta 90.00
_cell_angle_gamma 90.00
loop_
_atom_site_label
_atom_site_type_symbol
_atom_site_fract_x
_atom_site_fract_y
_atom_site_fract_z
_atom_site_occupancy
Ba1 Ba 0.1240 0.1240 0.1240 1
Sb1 Sb 0.2500 0.2500 0.7500 1
Br1 Br 0.0000 0.0000 0.5000 1
```



19.
Compound: K2CoIr
Source: Alexandria
Functional: meta-GGA SCAN
Structure: PBEsol geometry

Computed properties:
E_form ... 1.046 eV per atom
Energy relative to the lowest polymorph listed for this composition ... 2.39 eV/f.u.

CIF file:
```
data_K2CoIr
_symmetry_space_group_name_H-M 'R -3 m'
_symmetry_Int_Tables_number 166
_symmetry_space_group_name_Hall '-R 3 2"'
_cell_length_a 2.7955
_cell_length_b 2.7955
_cell_length_c 32.6793
_cell_angle_alpha 90.00
_cell_angle_beta 90.00
_cell_angle_gamma 120.00
loop_
_atom_site_label
_atom_site_type_symbol
_atom_site_fract_x
_atom_site_fract_y
_atom_site_fract_z
_atom_site_occupancy
K1 K 0.0000 0.0000 0.2492 1
Co1 Co 0.0000 0.0000 0.0000 1
Ir1 Ir 0.0000 0.0000 0.5000 1
```



20.
Compound: Be2AsH9O9
Source: Alexandria
Functional: meta-GGA SCAN
Structure: PBEsol geometry

Computed properties:
E ... -589.65 eV for the cell shown

CIF file:
```
data_Be2AsH9O9
_symmetry_space_group_name_H-M 'P 1 21/c 1'
_symmetry_Int_Tables_number 14
_cell_length_a 8.4718
_cell_length_b 12.5938
_cell_length_c 7.0631
_cell_angle_alpha 90.00
_cell_angle_beta 98.58
_cell_angle_gamma 90.00
loop_
_symmetry_equiv_pos_as_xyz
'x,y,z'
'-x,-y,-z'
'-x,y+1/2,-z+1/2'
'x,-y+1/2,z+1/2'
loop_
_atom_site_label
_atom_site_type_symbol
_atom_site_fract_x
_atom_site_fract_y
_atom_site_fract_z
_atom_site_occupancy
Be1 Be 0.1026 0.1247 0.3438 1
Be2 Be 0.3660 0.1202 0.1266 1
As1 As 0.2418 0.1727 0.7358 1
H1 H 0.0716 0.6865 0.6216 1
H2 H 0.1164 0.5190 0.1687 1
H3 H 0.1246 0.5976 0.3627 1
H4 H 0.2005 0.5037 0.6805 1
H5 H 0.2416 0.7095 0.5509 1
H6 H 0.2798 0.6664 0.8451 1
H7 H 0.4043 0.6126 0.1515 1
H8 H 0.4080 0.5122 0.3130 1
H9 H 0.4496 0.7146 0.9230 1
O1 O 0.0833 0.5893 0.2234 1
O2 O 0.1022 0.2456 0.8300 1
O3 O 0.1464 0.0878 0.5681 1
O4 O 0.1743 0.6517 0.5995 1
O5 O 0.2189 0.0715 0.2142 1
O6 O 0.3446 0.0886 0.8994 1
O7 O 0.3461 0.6920 0.9651 1
O8 O 0.3769 0.2488 0.1464 1
O9 O 0.4588 0.5804 0.2747 1
```